! CsAcCoF6 PBE with a Hubbard U optimized geometry; values from VASP
! uncorrected energy	-99.78	eV for the cell shown
! crystal system	orthorhombic
! SG	Imma, No. 74
! volume	19.00	Å³/atom
&SYSTEM
  ibrav = 0, nat = 18, ntyp = 4
/
ATOMIC_SPECIES
Cs 132.91 Cs.upf
Ac 227.00 Ac.upf
Co 58.93 Co.upf
F 19.00 F.upf
CELL_PARAMETERS angstrom
-3.890 4.175 5.265
3.890 -4.175 5.265
3.890 4.175 -5.265
ATOMIC_POSITIONS angstrom
Cs 0.000 2.087 0.885
Cs 3.890 2.087 4.380
Ac 3.890 0.000 0.000
Ac 0.000 0.000 5.265
Co 1.945 2.087 -2.633
Co 1.945 -2.087 2.633
F 1.789 -0.608 1.232
F 5.992 -0.608 1.232
F 3.890 2.087 -1.747
F 1.789 3.566 -1.232
F 2.101 -0.608 4.033
F 3.890 2.087 1.293
F 0.000 2.087 3.972
F 1.789 4.783 1.232
F 2.101 0.608 6.497
F 0.000 2.087 7.012
F -2.101 4.783 4.033
F 2.101 4.783 4.033